Entry 1:
Compound: TbPaPb
Source: the Open Quantum Materials Database
Functional: PBE
Structure: optimized geometry

Properties
E above lowest polymorph	0	meV/atom
electronic total energy	-5.530	eV/atom

CIF file:
```
data_TbPaPb
_space_group_name_H-M_alt 'F -4 3 m'
_space_group_IT_number 216
_space_group_name_Hall 'F -4 2 3'
_cell_length_a 7.390
_cell_length_b 7.390
_cell_length_c 7.390
_cell_angle_alpha 90.00
_cell_angle_beta 90.00
_cell_angle_gamma 90.00
loop_
_atom_site_label
_atom_site_type_symbol
_atom_site_fract_x
_atom_site_fract_y
_atom_site_fract_z
Tb1 Tb 0.000 0.000 0.000
Pa1 Pa 0.000 0.000 0.500
Pb1 Pb 0.250 0.250 0.750
```



Entry 2:
Compound: KHfAgSe2S
Source: the Open Quantum Materials Database
Functional: PBE
Structure: optimized geometry

Properties
E above lowest polymorph	33	meV/atom
electronic total energy	-5.221	eV/atom

CIF file:
```
data_KHfAgSe2S
_space_group_name_H-M_alt 'C m c m'
_space_group_IT_number 63
_space_group_name_Hall '-C 2c 2'
_cell_length_a 3.946
_cell_length_b 14.739
_cell_length_c 10.221
_cell_angle_alpha 90.00
_cell_angle_beta 90.00
_cell_angle_gamma 90.00
loop_
_atom_site_label
_atom_site_type_symbol
_atom_site_fract_x
_atom_site_fract_y
_atom_site_fract_z
K1 K 0.000 0.242 0.250
Hf1 Hf 0.000 0.500 0.000
Ag1 Ag 0.000 0.047 0.750
Se1 Se 0.000 0.127 0.528
S1 S 0.000 0.441 0.750
```



Entry 3:
Compound: Nd3Co
Source: the Open Quantum Materials Database
Functional: PBE
Structure: optimized geometry

Properties
ΔE_f	-0.07	eV per atom
electronic total energy	-5.416	eV/atom

CIF file:
```
data_Nd3Co
_space_group_name_H-M_alt 'P n m a'
_space_group_IT_number 62
_space_group_name_Hall '-P 2ac 2n'
_cell_length_a 7.088
_cell_length_b 9.833
_cell_length_c 6.423
_cell_angle_alpha 90.00
_cell_angle_beta 90.00
_cell_angle_gamma 90.00
loop_
_atom_site_label
_atom_site_type_symbol
_atom_site_fract_x
_atom_site_fract_y
_atom_site_fract_z
Nd1 Nd 0.046 0.250 0.143
Nd2 Nd 0.172 0.069 0.674
Co1 Co 0.113 0.750 0.441
```



Entry 4:
Compound: ScZnHg
Source: the Open Quantum Materials Database
Functional: PBE
Structure: optimized geometry

Properties
ΔE_f	0.08	eV per atom
electronic total energy	-2.555	eV/atom

CIF file:
```
data_ScZnHg
_space_group_name_H-M_alt 'F -4 3 m'
_space_group_IT_number 216
_space_group_name_Hall 'F -4 2 3'
_cell_length_a 6.551
_cell_length_b 6.551
_cell_length_c 6.551
_cell_angle_alpha 90.00
_cell_angle_beta 90.00
_cell_angle_gamma 90.00
loop_
_atom_site_label
_atom_site_type_symbol
_atom_site_fract_x
_atom_site_fract_y
_atom_site_fract_z
Sc1 Sc 0.000 0.000 0.000
Zn1 Zn 0.250 0.250 0.250
Hg1 Hg 0.250 0.250 0.750
```



Entry 5:
Compound: CsBaTbS3
Source: the Open Quantum Materials Database
Functional: PBE
Structure: optimized geometry

Properties
electronic total energy	-4.935	eV/atom

CIF file:
```
data_CsBaTbS3
_space_group_name_H-M_alt 'C m c m'
_space_group_IT_number 63
_space_group_name_Hall '-C 2c 2'
_cell_length_a 4.222
_cell_length_b 20.360
_cell_length_c 12.044
_cell_angle_alpha 90.00
_cell_angle_beta 90.00
_cell_angle_gamma 90.00
loop_
_atom_site_label
_atom_site_type_symbol
_atom_site_fract_x
_atom_site_fract_y
_atom_site_fract_z
Cs1 Cs 0.000 0.138 0.250
Ba1 Ba 0.000 0.100 0.750
Tb1 Tb 0.000 0.500 0.000
S1 S 0.000 0.089 0.505
S2 S 0.000 0.497 0.750
```



Entry 6:
Compound: NpBiPb
Source: the Open Quantum Materials Database
Functional: PBE
Structure: optimized geometry

Properties
electronic total energy	-6.351	eV/atom

CIF file:
```
data_NpBiPb
_space_group_name_H-M_alt 'F -4 3 m'
_space_group_IT_number 216
_space_group_name_Hall 'F -4 2 3'
_cell_length_a 7.448
_cell_length_b 7.448
_cell_length_c 7.448
_cell_angle_alpha 90.00
_cell_angle_beta 90.00
_cell_angle_gamma 90.00
loop_
_atom_site_label
_atom_site_type_symbol
_atom_site_fract_x
_atom_site_fract_y
_atom_site_fract_z
Np1 Np 0.000 0.000 0.000
Bi1 Bi 0.000 0.000 0.500
Pb1 Pb 0.250 0.250 0.750
```



Entry 7:
Compound: MgFeAgPb
Source: the Open Quantum Materials Database
Functional: PBE
Structure: optimized geometry

Properties
E above lowest polymorph	0	meV/atom
electronic total energy	-3.805	eV/atom

CIF file:
```
data_MgFeAgPb
_space_group_name_H-M_alt 'F -4 3 m'
_space_group_IT_number 216
_space_group_name_Hall 'F -4 2 3'
_cell_length_a 6.728
_cell_length_b 6.728
_cell_length_c 6.728
_cell_angle_alpha 90.00
_cell_angle_beta 90.00
_cell_angle_gamma 90.00
loop_
_atom_site_label
_atom_site_type_symbol
_atom_site_fract_x
_atom_site_fract_y
_atom_site_fract_z
Mg1 Mg 0.000 0.000 0.000
Fe1 Fe 0.250 0.250 0.750
Ag1 Ag 0.250 0.250 0.250
Pb1 Pb 0.000 0.000 0.500
```



Entry 8:
Compound: Sr3Pd4N4
Source: the Open Quantum Materials Database
Functional: PBE
Structure: optimized geometry

Properties
electronic total energy	-5.365	eV/atom

CIF file:
```
data_Sr3Pd4N4
_space_group_name_H-M_alt 'P m m m'
_space_group_IT_number 47
_space_group_name_Hall '-P 2 2'
_cell_length_a 3.754
_cell_length_b 3.843
_cell_length_c 13.313
_cell_angle_alpha 90.00
_cell_angle_beta 90.00
_cell_angle_gamma 90.00
loop_
_atom_site_label
_atom_site_type_symbol
_atom_site_fract_x
_atom_site_fract_y
_atom_site_fract_z
Sr1 Sr 0.000 0.000 0.000
Sr2 Sr 0.000 0.500 0.308
Pd1 Pd 0.000 0.000 0.500
Pd2 Pd 0.500 0.000 0.167
Pd3 Pd 0.500 0.500 0.500
N1 N 0.500 0.000 0.406
N2 N 0.500 0.500 0.161
```



Entry 9:
Compound: Ho2Ga4NiIr
Source: the Open Quantum Materials Database
Functional: PBE
Structure: optimized geometry

Properties
electronic total energy	-5.167	eV/atom

CIF file:
```
data_Ho2Ga4NiIr
_space_group_name_H-M_alt 'A m m 2'
_space_group_IT_number 38
_space_group_name_Hall 'A 2 -2'
_cell_length_a 6.867
_cell_length_b 4.133
_cell_length_c 10.142
_cell_angle_alpha 90.00
_cell_angle_beta 90.00
_cell_angle_gamma 90.00
loop_
_atom_site_label
_atom_site_type_symbol
_atom_site_fract_x
_atom_site_fract_y
_atom_site_fract_z
Ho1 Ho 0.000 0.000 0.000
Ho2 Ho 0.500 0.000 0.142
Ga1 Ga 0.206 0.000 0.717
Ga2 Ga 0.311 0.000 0.430
Ni1 Ni 0.500 0.000 0.860
Ir1 Ir 0.000 0.000 0.285
```



Entry 10:
Compound: LiBeAl2Cu4
Source: the Open Quantum Materials Database
Functional: PBE
Structure: optimized geometry

Properties
E above lowest polymorph	0	meV/atom
electronic total energy	-3.681	eV/atom

CIF file:
```
data_LiBeAl2Cu4
_space_group_name_H-M_alt 'I 41/a m d'
_space_group_IT_number 141
_cell_length_a 5.700
_cell_length_b 5.700
_cell_length_c 11.756
_cell_angle_alpha 90.00
_cell_angle_beta 90.00
_cell_angle_gamma 90.00
loop_
_space_group_symop_operation_xyz
'x,y,z'
'-x,-y,-z'
'-y+1/4,x+3/4,z+1/4'
'y+1/4,-x+3/4,-z+1/4'
'-x+1/2,-y,z+1/2'
'x+1/2,y,-z+1/2'
'y+1/4,-x+1/4,z+3/4'
'-y+1/4,x+1/4,-z+3/4'
'x,-y,-z'
'-x,y,z'
'-y+1/4,-x+1/4,-z+3/4'
'y+1/4,x+1/4,z+3/4'
'-x+1/2,y,-z+1/2'
'x+1/2,-y,z+1/2'
'y+1/4,x+3/4,-z+1/4'
'-y+1/4,-x+3/4,z+1/4'
'x+1/2,y+1/2,z+1/2'
'-x+1/2,-y+1/2,-z+1/2'
'-y+3/4,x+1/4,z+3/4'
'y+3/4,-x+1/4,-z+3/4'
'-x,-y+1/2,z'
'x,y+1/2,-z'
'y+3/4,-x+3/4,z+1/4'
'-y+3/4,x+3/4,-z+1/4'
'x+1/2,-y+1/2,-z+1/2'
'-x+1/2,y+1/2,z+1/2'
'-y+3/4,-x+3/4,-z+1/4'
'y+3/4,x+3/4,z+1/4'
'-x,y+1/2,-z'
'x,-y+1/2,z'
'y+3/4,x+1/4,-z+3/4'
'-y+3/4,-x+1/4,z+3/4'
loop_
_atom_site_label
_atom_site_type_symbol
_atom_site_fract_x
_atom_site_fract_y
_atom_site_fract_z
Li1 Li 0.000 0.250 0.375
Be1 Be 0.000 0.250 0.875
Al1 Al 0.000 0.250 0.134
Cu1 Cu 0.231 0.000 0.000
```



Entry 11:
Compound: MgScZnB
Source: the Open Quantum Materials Database
Functional: PBE
Structure: optimized geometry

Properties
E above lowest polymorph	309	meV/atom
electronic total energy	-3.540	eV/atom

CIF file:
```
data_MgScZnB
_space_group_name_H-M_alt 'F -4 3 m'
_space_group_IT_number 216
_space_group_name_Hall 'F -4 2 3'
_cell_length_a 6.202
_cell_length_b 6.202
_cell_length_c 6.202
_cell_angle_alpha 90.00
_cell_angle_beta 90.00
_cell_angle_gamma 90.00
loop_
_atom_site_label
_atom_site_type_symbol
_atom_site_fract_x
_atom_site_fract_y
_atom_site_fract_z
Mg1 Mg 0.000 0.000 0.000
Sc1 Sc 0.250 0.250 0.750
Zn1 Zn 0.250 0.250 0.250
B1 B 0.000 0.000 0.500
```



Entry 12:
Compound: Tb2O3
Source: the Open Quantum Materials Database
Functional: PBE
Structure: optimized geometry

Properties
electronic total energy	-8.233	eV/atom

CIF file:
```
data_Tb2O3
_space_group_name_H-M_alt 'F d d 2'
_space_group_IT_number 43
_space_group_name_Hall 'F 2 -2d'
_cell_length_a 11.545
_cell_length_b 13.424
_cell_length_c 3.713
_cell_angle_alpha 90.00
_cell_angle_beta 90.00
_cell_angle_gamma 90.00
loop_
_atom_site_label
_atom_site_type_symbol
_atom_site_fract_x
_atom_site_fract_y
_atom_site_fract_z
Tb1 Tb 0.095 0.172 0.000
O1 O 0.000 0.000 0.987
O2 O 0.016 0.326 0.994
```



Entry 13:
Compound: LaNdPu
Source: the Open Quantum Materials Database
Functional: PBE
Structure: optimized geometry

Properties
ΔE_f	0.75	eV per atom
E above lowest polymorph	0	meV/atom
electronic total energy	-7.191	eV/atom

CIF file:
```
data_LaNdPu
_space_group_name_H-M_alt 'F -4 3 m'
_space_group_IT_number 216
_space_group_name_Hall 'F -4 2 3'
_cell_length_a 7.207
_cell_length_b 7.207
_cell_length_c 7.207
_cell_angle_alpha 90.00
_cell_angle_beta 90.00
_cell_angle_gamma 90.00
loop_
_atom_site_label
_atom_site_type_symbol
_atom_site_fract_x
_atom_site_fract_y
_atom_site_fract_z
La1 La 0.000 0.000 0.000
Nd1 Nd 0.250 0.250 0.750
Pu1 Pu 0.250 0.250 0.250
```



Entry 14:
Compound: Pr3Nd2ErTe2Pd
Source: the Open Quantum Materials Database
Functional: PBE
Structure: optimized geometry

Properties
electronic total energy	-5.274	eV/atom

CIF file:
```
data_Pr3Nd2ErTe2Pd
_space_group_name_H-M_alt 'A m m 2'
_space_group_IT_number 38
_space_group_name_Hall 'A 2 -2'
_cell_length_a 4.055
_cell_length_b 14.996
_cell_length_c 8.694
_cell_angle_alpha 90.00
_cell_angle_beta 90.00
_cell_angle_gamma 90.00
loop_
_atom_site_label
_atom_site_type_symbol
_atom_site_fract_x
_atom_site_fract_y
_atom_site_fract_z
Pr1 Pr 0.000 0.000 0.000
Pr2 Pr 0.000 0.205 0.615
Nd1 Nd 0.500 0.123 0.288
Er1 Er 0.500 0.000 0.654
Te1 Te 0.500 0.165 0.908
Pd1 Pd 0.000 0.000 0.426
```



Entry 15:
Compound: Co17Te
Source: the Open Quantum Materials Database
Functional: PBE
Structure: optimized geometry

Properties
electronic total energy	-6.784	eV/atom

CIF file:
```
data_Co17Te
_space_group_name_H-M_alt 'P -3 m 1'
_space_group_IT_number 164
_space_group_name_Hall '-P 3 2"'
_cell_length_a 4.9287
_cell_length_b 4.9287
_cell_length_c 31.3616
_cell_angle_alpha 90.00
_cell_angle_beta 90.00
_cell_angle_gamma 120.00
loop_
_atom_site_label
_atom_site_type_symbol
_atom_site_fract_x
_atom_site_fract_y
_atom_site_fract_z
Co1 Co 0.0000 0.0000 0.0000
Co2 Co 0.0000 0.0000 0.1933
Co3 Co 0.0000 0.5000 0.0000
Co4 Co 0.0034 0.5017 0.1939
Co5 Co 0.1665 0.3331 0.1286
Co6 Co 0.1671 0.3343 0.7432
Co7 Co 0.1670 0.3339 0.9353
Co8 Co 0.3333 0.6667 0.0643
Co9 Co 0.3333 0.6667 0.8694
Te1 Te 0.3333 0.6667 0.2908
```



Entry 16:
Compound: LiTaNiAs
Source: the Open Quantum Materials Database
Functional: PBE
Structure: optimized geometry

Properties
E above lowest polymorph	0	meV/atom
electronic total energy	-5.902	eV/atom

CIF file:
```
data_LiTaNiAs
_space_group_name_H-M_alt 'F -4 3 m'
_space_group_IT_number 216
_space_group_name_Hall 'F -4 2 3'
_cell_length_a 6.035
_cell_length_b 6.035
_cell_length_c 6.035
_cell_angle_alpha 90.00
_cell_angle_beta 90.00
_cell_angle_gamma 90.00
loop_
_atom_site_label
_atom_site_type_symbol
_atom_site_fract_x
_atom_site_fract_y
_atom_site_fract_z
Li1 Li 0.000 0.000 0.000
Ta1 Ta 0.250 0.250 0.250
Ni1 Ni 0.250 0.250 0.750
As1 As 0.000 0.000 0.500
```



Entry 17:
Compound: Pr2Cu5Ni5
Source: the Open Quantum Materials Database
Functional: PBE
Structure: optimized geometry

Properties
ΔE_f	-0.24	eV per atom
electronic total energy	-4.900	eV/atom

CIF file:
```
data_Pr2Cu5Ni5
_space_group_name_H-M_alt 'P m m m'
_space_group_IT_number 47
_space_group_name_Hall '-P 2 2'
_cell_length_a 4.050
_cell_length_b 5.016
_cell_length_c 8.665
_cell_angle_alpha 90.00
_cell_angle_beta 90.00
_cell_angle_gamma 90.00
loop_
_atom_site_label
_atom_site_type_symbol
_atom_site_fract_x
_atom_site_fract_y
_atom_site_fract_z
Pr1 Pr 0.000 0.000 0.000
Pr2 Pr 0.000 0.500 0.500
Cu1 Cu 0.500 0.000 0.500
Cu2 Cu 0.500 0.251 0.249
Ni1 Ni 0.000 0.000 0.335
Ni2 Ni 0.000 0.500 0.162
Ni3 Ni 0.500 0.500 0.000
```



Entry 18:
Compound: Pm3Si2
Source: the Open Quantum Materials Database
Functional: PBE
Structure: optimized geometry

Properties
electronic total energy	-5.670	eV/atom

CIF file:
```
data_Pm3Si2
_space_group_name_H-M_alt 'P 4/m b m'
_space_group_IT_number 127
_space_group_name_Hall '-P 4 2ab'
_cell_length_a 7.724
_cell_length_b 7.724
_cell_length_c 4.306
_cell_angle_alpha 90.00
_cell_angle_beta 90.00
_cell_angle_gamma 90.00
loop_
_atom_site_label
_atom_site_type_symbol
_atom_site_fract_x
_atom_site_fract_y
_atom_site_fract_z
Pm1 Pm 0.000 0.000 0.000
Pm2 Pm 0.177 0.323 0.500
Si1 Si 0.112 0.612 0.000
```



Entry 19:
Compound: SmErZn2Sn2
Source: the Open Quantum Materials Database
Functional: PBE
Structure: optimized geometry

Properties
E above lowest polymorph	0	meV/atom
electronic total energy	-3.902	eV/atom

CIF file:
```
data_SmErZn2Sn2
_space_group_name_H-M_alt 'P 63/m m c'
_space_group_IT_number 194
_space_group_name_Hall '-P 6c 2c'
_cell_length_a 4.5107
_cell_length_b 4.5107
_cell_length_c 15.9591
_cell_angle_alpha 90.00
_cell_angle_beta 90.00
_cell_angle_gamma 120.00
loop_
_atom_site_label
_atom_site_type_symbol
_atom_site_fract_x
_atom_site_fract_y
_atom_site_fract_z
Sm1 Sm 0.0000 0.0000 0.0000
Er1 Er 0.0000 0.0000 0.2500
Zn1 Zn 0.3333 0.6667 0.1620
Sn1 Sn 0.3333 0.6667 0.6167
```



Entry 20:
Compound: KDyGeTe3
Source: the Open Quantum Materials Database
Functional: PBE
Structure: optimized geometry

Properties
electronic total energy	-4.130	eV/atom

CIF file:
```
data_KDyGeTe3
_space_group_name_H-M_alt 'C m c m'
_space_group_IT_number 63
_space_group_name_Hall '-C 2c 2'
_cell_length_a 4.634
_cell_length_b 15.563
_cell_length_c 12.015
_cell_angle_alpha 90.00
_cell_angle_beta 90.00
_cell_angle_gamma 90.00
loop_
_atom_site_label
_atom_site_type_symbol
_atom_site_fract_x
_atom_site_fract_y
_atom_site_fract_z
K1 K 0.000 0.246 0.250
Dy1 Dy 0.000 0.000 0.000
Ge1 Ge 0.000 0.464 0.750
Te1 Te 0.000 0.071 0.750
Te2 Te 0.000 0.368 0.546
```